[1]
The following is a DFT calculation (PBE) of SrZr2Se after structural relaxation.

Computed properties:
Formation energy from raw total energies: -0.19 eV/atom

abc: 3.4028 3.4028 9.1400
angles: 90.00 90.00 90.00
Last column: nearest neighbours and their distance in Å.
Space group P4/mmm (No. 123)
Unique sites:
Sr: 0.0000 0.0000 0.0000 [1 per cell]  4 Sr 3.40
Zr: 0.5000 0.5000 0.3285 [2 per cell]  4 Se 2.87, 1 Zr 3.13
Se: 0.0000 0.0000 0.5000 [1 per cell]  8 Zr 2.87



[2]
The following is a DFT calculation (PBE) of PaCuSn2Te5 after structural relaxation.

Computed properties:
Formation energy from raw total energies: -0.44 eV/atom

abc: 4.3521 19.6046 14.0262
angles: 90.00 90.00 90.00
Last column: nearest neighbours and their distance in Å.
Space group Cmc2_1 (No. 36)
Unique sites:
Pa: 0.0000 0.1970 0.0000 [4 per cell]  6 Te 2.99-3.06
Cu: 0.0000 0.4226 0.4222 [4 per cell]  4 Te 2.58-2.66
Sn: 0.0000 0.0819 0.2322 [4 per cell]  3 Te 2.97-3.13
Sn: 0.0000 0.1220 0.6016 [4 per cell]  3 Te 3.01-3.13
Te: 0.0000 0.0431 0.0157 [4 per cell]  2 Cu 2.63
Te: 0.0000 0.2783 0.6483 [4 per cell]  2 Pa 3.05, 1 Sn 3.13
Te: 0.0000 0.3003 0.3535 [4 per cell]  1 Cu 2.58
Te: 0.0000 0.3504 0.9590 [4 per cell]  2 Sn 3.01, 1 Pa 3.06
Te: 0.0000 0.4794 0.2497 [4 per cell]  1 Cu 2.66, 2 Sn 2.97



[3]
The following is a DFT calculation (PBE) of Ac3Ce2Ru4 after structural relaxation.

Computed properties:
Energy relative to the elements: -0.28 eV/atom
Relative energy among the computed polymorphs: 0.00 eV/f.u.

abc: 4.3106 6.3001 9.3946
angles: 101.25 90.08 109.96
Last column: nearest neighbours and their distance in Å.
Space group P-1 (No. 2)
Unique sites:
Ac: 0.0000 0.0000 0.0000 [1 per cell]  6 Ru 3.34-3.63
Ac: 0.3798 0.7615 0.6142 [2 per cell]  6 Ru 3.19-3.46
Ce: 0.3218 0.6415 0.2128 [2 per cell]  5 Ru 2.60-2.84
Ru: 0.0946 0.1882 0.6419 [2 per cell]  2 Ce 2.63-2.64
Ru: 0.2808 0.5629 0.9043 [2 per cell]  3 Ce 2.60-2.84



[4]
The following is a DFT calculation (PBE) of Pm3Tm after structural relaxation.

Computed properties:
Energy relative to the elements: 0.02 eV/atom
Relative energy among the computed polymorphs: 0.00 eV/f.u.

abc: 5.1019 5.1019 5.1019
angles: 90.00 90.00 90.00
Last column: nearest neighbours and their distance in Å.
Space group Pm-3m (No. 221)
Unique sites:
Pm: 0.0000 0.0000 0.5000 [3 per cell]  8 Pm 3.61, 4 Tm 3.61
Tm: 0.5000 0.5000 0.5000 [1 per cell]  12 Pm 3.61



[5]
The following is a DFT calculation (PBE) of NaTbTlGe after structural relaxation.

Computed properties:
Energy relative to the elements: -0.23 eV/atom

abc: 7.3450 7.3450 7.3450
angles: 90.00 90.00 90.00
Last column: nearest neighbours and their distance in Å.
Space group F-43m (No. 216)
Unique sites:
Na: 0.0000 0.0000 0.0000 [4 per cell]  4 Ge 3.18, 4 Tl 3.18
Tb: 0.0000 0.0000 0.5000 [4 per cell]  4 Ge 3.18, 4 Tl 3.18
Tl: 0.2500 0.2500 0.7500 [4 per cell]  4 Tb 3.18, 4 Na 3.18
Ge: 0.2500 0.2500 0.2500 [4 per cell]  4 Tb 3.18, 4 Na 3.18



[6]
The following is a DFT calculation (PBE) of La6TbPr2Ho after structural relaxation.

Computed properties:
Energy relative to the elements: 0.11 eV/atom

abc: 9.9120 15.4272 9.3173
angles: 90.00 90.48 90.00
Last column: nearest neighbours and their distance in Å.
Space group C2/c (No. 15)
Unique sites:
La: 0.0740 0.1457 0.0946 [8 per cell]  4 La 3.26-3.60, 1 Ho 3.49, 1 Pr 3.58
La: 0.0738 0.3503 0.9087 [8 per cell]  4 La 3.29-3.60, 1 Tb 3.51, 1 Pr 3.61
La: 0.2477 0.2818 0.3188 [8 per cell]  3 La 3.42-3.52, 1 Tb 3.44, 1 Ho 3.45, 2 Pr 3.51-3.82
Tb: 0.0000 0.4332 0.2500 [4 per cell]  6 La 3.44-3.72, 4 Pr 3.49-3.82
Pr: 0.2501 0.0445 0.4374 [8 per cell]  2 Tb 3.49-3.82, 2 Ho 3.50-3.86, 6 La 3.51-3.82
Ho: 0.0000 0.0700 0.7500 [4 per cell]  6 La 3.45-3.71, 4 Pr 3.50-3.86



[7]
The following is a DFT calculation (PBE) of Tb2Co5C4 after structural relaxation.

Computed properties:
Energy relative to the elements: -0.07 eV/atom

abc: 4.9126 9.5035 10.2560
angles: 90.00 90.00 90.00
Last column: nearest neighbours and their distance in Å.
Space group Fmmm (No. 69)
Unique sites:
Tb: 0.0000 0.0000 0.1514 [8 per cell]  6 C 2.67-2.87, 6 Co 2.86-2.91
Co: 0.0000 0.0000 0.5000 [4 per cell]  4 C 2.00
Co: 0.2500 0.2500 0.0000 [8 per cell]  4 C 2.04
Co: 0.2500 0.2500 0.2500 [8 per cell]  4 C 1.94
C: 0.0000 0.1554 0.3679 [16 per cell]  5 Co 1.94-2.04



[8]
The following is a DFT calculation (PBE) of TeW2Cl after structural relaxation.

Computed properties:
Formation energy from raw total energies: 0.71 eV/atom
Relative energy among the computed polymorphs: 2.51 eV/f.u.

abc: 3.3303 4.8460 11.9906
angles: 90.00 90.00 90.00
Last column: nearest neighbours and their distance in Å.
Space group Imm2 (No. 44)
Unique sites:
Te: 0.0000 0.0000 0.0000 [2 per cell]  6 W 2.81-2.96
W: 0.0000 0.0000 0.5282 [2 per cell]  2 W 2.43
W: 0.0000 0.5000 0.8806 [2 per cell]  2 W 2.43
Cl: 0.0000 0.5000 0.2176 [2 per cell]  2 W 2.82



[9]
The following is a DFT calculation (PBE) of RbAlPd3 after structural relaxation.

Computed properties:
Energy relative to the elements: 1.42 eV/atom
Relative energy among the computed polymorphs: 7.28 eV/f.u.

abc: 5.1389 5.1389 5.1389
angles: 90.00 90.00 90.00
Last column: nearest neighbours and their distance in Å.
Space group Pm-3m (No. 221)
Unique sites:
Rb: 0.0000 0.0000 0.0000 [1 per cell]  6 Pd 2.57
Al: 0.5000 0.5000 0.5000 [1 per cell]  12 Pd 3.63
Pd: 0.0000 0.0000 0.5000 [3 per cell]  2 Rb 2.57



[10]
The following is a DFT calculation (PBE) of TlIn6Se8 after structural relaxation.

Computed properties:
Formation energy from raw total energies: -0.13 eV/atom
Relative energy among the computed polymorphs: 4.17 eV/f.u.

abc: 13.3141 13.3141 13.3141
angles: 90.00 90.00 90.00
Last column: nearest neighbours and their distance in Å.
Space group Fm-3m (No. 225)
Unique sites:
Tl: 0.0000 0.0000 0.0000 [4 per cell]  8 Se 3.29
In: 0.0000 0.2500 0.2500 [24 per cell]  4 Se 2.77
Se: 0.1426 0.1426 0.1426 [32 per cell]  3 In 2.77



[11]
The following is a DFT calculation (PBE) of ZrZnTe2 after structural relaxation.

Computed properties:
Formation energy from raw total energies: -0.53 eV/atom

abc: 3.9216 3.9216 23.1592
angles: 90.00 90.00 120.00
Last column: nearest neighbours and their distance in Å.
Space group R-3m (No. 166, hexagonal axes)
Unique sites:
Zr: 0.0000 0.0000 0.0000 [3 per cell]  6 Te 2.95
Zn: 0.0000 0.0000 0.5000 [3 per cell]  6 Te 3.00
Te: 0.0000 0.0000 0.2519 [6 per cell]  3 Zr 2.95, 3 Zn 3.00



[12]
The following is a DFT calculation (PBE) of TlIn2CuI after structural relaxation.

Computed properties:
Formation energy from raw total energies: -0.09 eV/atom

abc: 5.2411 5.2411 5.4660
angles: 90.00 90.00 90.00
Last column: nearest neighbours and their distance in Å.
Space group P4/mmm (No. 123)
Unique sites:
Tl: 0.0000 0.0000 0.0000 [1 per cell]  2 Cu 2.73
In: 0.0000 0.5000 0.5000 [2 per cell]  2 Cu 2.62
Cu: 0.0000 0.0000 0.5000 [1 per cell]  4 In 2.62, 2 Tl 2.73
I: 0.5000 0.5000 0.0000 [1 per cell]  4 Tl 3.71, 8 In 3.79



[13]
The following is a DFT calculation (PBE) of MnWSCl2 after structural relaxation.

Computed properties:
Formation energy from raw total energies: 1.19 eV/atom
Relative energy among the computed polymorphs: 4.34 eV/f.u.

abc: 4.3750 4.3750 4.5412
angles: 90.00 90.00 90.00
Last column: nearest neighbours and their distance in Å.
Space group P4/mmm (No. 123)
Unique sites:
Mn: 0.0000 0.0000 0.0000 [1 per cell]  4 Cl 2.19, 2 S 2.27
W: 0.5000 0.5000 0.5000 [1 per cell]  4 S 3.09, 8 Cl 3.15
S: 0.0000 0.0000 0.5000 [1 per cell]  2 Mn 2.27
Cl: 0.0000 0.5000 0.0000 [2 per cell]  2 Mn 2.19



[14]
The following is a DFT calculation (PBE) of CaPtI2O after structural relaxation.

Computed properties:
Formation energy from raw total energies: -0.58 eV/atom
Relative energy among the computed polymorphs: 0.00 eV/f.u.

abc: 5.7040 5.7040 3.9784
angles: 90.00 90.00 90.00
Last column: nearest neighbours and their distance in Å.
Space group P4/mmm (No. 123)
Unique sites:
Ca: 0.0000 0.0000 0.0000 [1 per cell]  8 I 3.48
Pt: 0.5000 0.5000 0.5000 [1 per cell]  2 O 1.99
I: 0.0000 0.5000 0.5000 [2 per cell]  2 Pt 2.85
O: 0.5000 0.5000 0.0000 [1 per cell]  2 Pt 1.99



[15]
The following is a DFT calculation (PBE) of BeTl2HIr after structural relaxation.

Computed properties:
Calculated total energy: -3.479 eV/atom

abc: 5.1387 5.1387 3.0445
angles: 90.00 90.00 90.00
Last column: nearest neighbours and their distance in Å.
Space group P4/mmm (No. 123)
Unique sites:
Be: 0.0000 0.0000 0.0000 [1 per cell]  2 H 1.52
Tl: 0.0000 0.5000 0.0000 [2 per cell]  2 Be 2.57
H: 0.0000 0.0000 0.5000 [1 per cell]  2 Be 1.52
Ir: 0.5000 0.5000 0.5000 [1 per cell]  8 Tl 2.99, 2 Ir 3.04



[16]
The following is a DFT calculation (PBE) of NbAl2Ru2 after structural relaxation.

Computed properties:
Energy relative to the elements: -0.39 eV/atom
Relative energy among the computed polymorphs: 0.00 eV/f.u.

abc: 7.1728 7.1728 2.9053
angles: 90.00 90.00 90.00
Last column: nearest neighbours and their distance in Å.
Space group P4/mbm (No. 127)
Unique sites:
Nb: 0.0000 0.0000 0.0000 [2 per cell]  4 Al 2.82, 2 Nb 2.91, 8 Ru 3.03
Al: 0.1279 0.3721 0.0000 [4 per cell]  6 Ru 2.52-2.60, 1 Al 2.60
Ru: 0.1694 0.6694 0.5000 [4 per cell]  6 Al 2.52-2.60



[17]
The following is a DFT calculation (PBE) of CdTe after structural relaxation.

Computed properties:
Formation energy from raw total energies: -0.34 eV/atom

abc: 9.0422 9.0422 9.0422
angles: 90.00 90.00 90.00
Last column: nearest neighbours and their distance in Å.
Space group I-43m (No. 217)
Unique sites:
Cd: 0.1565 0.1565 0.1565 [8 per cell]  4 Te 2.79-2.91
Te: 0.1654 0.1654 0.8346 [8 per cell]  4 Cd 2.79-2.91



[18]
The following is a DFT calculation (PBE) of DyHo2ZrN4 after structural relaxation.

Computed properties:
Formation energy from raw total energies: -1.75 eV/atom

abc: 5.8821 3.3930 5.8861
angles: 90.00 109.28 90.00
Last column: nearest neighbours and their distance in Å.
Space group P2/m (No. 10)
Unique sites:
Dy: 0.0000 0.0000 0.0000 [1 per cell]  6 N 2.41
Ho: 0.5000 0.0000 0.5000 [1 per cell]  6 N 2.40
Ho: 0.5000 0.5000 0.0000 [1 per cell]  6 N 2.46-2.47
Zr: 0.0000 0.5000 0.5000 [1 per cell]  6 N 2.33-2.35
N: 0.2393 0.0000 0.7382 [2 per cell]  2 Zr 2.35, 3 Ho 2.40-2.46, 1 Dy 2.41
N: 0.2440 0.5000 0.2582 [2 per cell]  1 Zr 2.33, 3 Ho 2.40-2.47, 2 Dy 2.41



[19]
The following is a DFT calculation (PBE) of CaTc2Rh after structural relaxation.

Computed properties:
Energy relative to the elements: 0.34 eV/atom
Relative energy among the computed polymorphs: 0.68 eV/f.u.

abc: 3.1813 4.8772 8.9995
angles: 90.00 90.00 90.00
Last column: nearest neighbours and their distance in Å.
Space group Imm2 (No. 44)
Unique sites:
Ca: 0.0000 0.0000 0.0000 [2 per cell]  8 Tc 2.91-3.10, 4 Rh 2.96-3.16, 2 Ca 3.18
Tc: 0.0000 0.0000 0.5116 [2 per cell]  2 Tc 2.41, 2 Rh 2.65
Tc: 0.0000 0.5000 0.2135 [2 per cell]  2 Tc 2.41
Rh: 0.0000 0.5000 0.7767 [2 per cell]  2 Tc 2.65, 2 Ca 2.96



[20]
The following is a DFT calculation (PBE) of Mn2CoPt after structural relaxation.

Computed properties:
Energy relative to the elements: 0.03 eV/atom

abc: 4.4798 2.7474 4.7628
angles: 90.00 111.09 90.00
Last column: nearest neighbours and their distance in Å.
Space group P2/m (No. 10)
Unique sites:
Mn: 0.0000 0.0000 0.0000 [1 per cell]  2 Co 2.62, 4 Pt 2.63, 6 Mn 2.75
Mn: 0.0000 0.5000 0.5000 [1 per cell]  2 Pt 2.62, 4 Co 2.63, 6 Mn 2.75
Co: 0.5000 0.0000 0.5000 [1 per cell]  6 Mn 2.62-2.63, 2 Co 2.75, 4 Pt 2.75
Pt: 0.5000 0.5000 0.0000 [1 per cell]  6 Mn 2.62-2.63, 2 Pt 2.75, 4 Co 2.75



[21]
The following is a DFT calculation (PBE) of La4ReN7 after structural relaxation.

Computed properties:
Formation energy from raw total energies: -0.88 eV/atom

abc: 13.9947 4.0251 10.1082
angles: 90.00 133.17 90.00
Last column: nearest neighbours and their distance in Å.
Space group C2/m (No. 12)
Unique sites:
La: 0.0712 0.0000 0.3192 [4 per cell]  3 N 2.26-2.52
La: 0.2440 0.5000 0.8451 [4 per cell]  3 N 2.37-2.43
Re: 0.0000 0.5000 0.0000 [2 per cell]  4 N 1.93-2.01
N: 0.0000 0.0000 0.0000 [2 per cell]  2 Re 2.01
N: 0.0233 0.5000 0.4676 [4 per cell]  1 N 1.20
N: 0.1452 0.5000 0.2601 [4 per cell]  1 Re 1.93
N: 0.1464 0.0000 0.8439 [4 per cell]  4 La 2.26-2.43



[22]
The following is a DFT calculation (PBE) of PuMgCo2Ge2 after structural relaxation.

Computed properties:
Energy relative to the elements: -0.33 eV/atom

abc: 4.1277 4.1277 6.7213
angles: 90.00 90.00 120.00
Last column: nearest neighbours and their distance in Å.
Space group P-3m1 (No. 164)
Unique sites:
Pu: 0.0000 0.0000 0.0000 [1 per cell]  6 Ge 3.01, 2 Mg 3.36
Mg: 0.0000 0.0000 0.5000 [1 per cell]  6 Co 2.56, 6 Ge 2.82
Co: 0.3333 0.6667 0.6396 [2 per cell]  4 Ge 2.45, 3 Mg 2.56
Ge: 0.3333 0.6667 0.2747 [2 per cell]  4 Co 2.45



[23]
The following is a DFT calculation (PBE) of Ce2CoSi5 after structural relaxation.

Computed properties:
Formation energy from raw total energies: -0.51 eV/atom

abc: 5.7655 5.7655 8.8004
angles: 90.00 90.00 90.00
Last column: nearest neighbours and their distance in Å.
Space group I4mm (No. 107)
Unique sites:
Ce: 0.0000 0.5000 0.0000 [4 per cell]  10 Si 2.92-3.06
Co: 0.0000 0.0000 0.2937 [2 per cell]  5 Si 2.27-2.32
Si: 0.0000 0.0000 0.5518 [2 per cell]  1 Co 2.27, 4 Si 2.54
Si: 0.2186 0.2186 0.7575 [8 per cell]  1 Co 2.32, 3 Si 2.52-2.54



[24]
The following is a DFT calculation (PBE) of CuBi3Mo after structural relaxation.

Computed properties:
Energy relative to the elements: 0.85 eV/atom
Relative energy among the computed polymorphs: 0.00 eV/f.u.

abc: 5.3659 5.3659 5.3659
angles: 90.00 90.00 90.00
Last column: nearest neighbours and their distance in Å.
Space group Pm-3m (No. 221)
Unique sites:
Cu: 0.0000 0.0000 0.0000 [1 per cell]  12 Bi 3.79
Bi: 0.0000 0.5000 0.5000 [3 per cell]  2 Mo 2.68
Mo: 0.5000 0.5000 0.5000 [1 per cell]  6 Bi 2.68



[25]
The following is a DFT calculation (PBE) of Sm4AuSeS2 after structural relaxation.

Computed properties:
Formation energy from raw total energies: -1.64 eV/atom

abc: 7.1574 4.0529 7.2038
angles: 90.00 108.84 90.00
Last column: nearest neighbours and their distance in Å.
Space group P2/m (No. 10)
Unique sites:
Sm: 0.2442 0.0000 0.2365 [2 per cell]  3 S 2.85-2.88, 1 Se 2.97, 2 Au 2.97
Sm: 0.2537 0.5000 0.7663 [2 per cell]  3 S 2.85, 2 Se 2.97, 1 Au 3.00
Au: 0.5000 0.5000 0.5000 [1 per cell]  6 Sm 2.97-3.00
Se: 0.0000 0.0000 0.5000 [1 per cell]  6 Sm 2.97
S: 0.0000 0.5000 0.0000 [1 per cell]  6 Sm 2.85
S: 0.5000 0.0000 0.0000 [1 per cell]  6 Sm 2.85-2.88